No. 1
Compound: BeFeCoRe2
Source: Alexandria
Functional: SCAN
Structure: single point on PBEsol structure

Output
N(E_F) = 3.1 states/eV per cell
Formation energy = 79.1 kJ/mol of atoms

Structure (CIF):
```
data_BeFeCoRe2
_chemical_formula_sum 'Be1 Fe1 Co1 Re2'
_cell_length_a 4.054
_cell_length_b 4.054
_cell_length_c 3.730
_cell_angle_alpha 90.00
_cell_angle_beta 90.00
_cell_angle_gamma 90.00
_space_group_name_H-M_alt 'P 4/m m m'
_space_group_IT_number 123
_space_group_name_Hall '-P 4 2'
loop_
_atom_site_label
_atom_site_type_symbol
_atom_site_fract_x
_atom_site_fract_y
_atom_site_fract_z
Be1 Be 0.000 0.000 0.000
Fe1 Fe 0.000 0.000 0.500
Co1 Co 0.500 0.500 0.500
Re1 Re 0.000 0.500 0.000
```

=====

No. 2
Compound: LiMgB2
Source: Alexandria
Functional: SCAN
Structure: single point on PBEsol structure

Output
N(E_F) = 4.8 states/eV per cell
Formation energy = 112.7 kJ/mol of atoms

Structure (CIF):
```
data_LiMgB2
_chemical_formula_sum 'Li4 Mg4 B8'
_cell_length_a 6.428
_cell_length_b 6.428
_cell_length_c 4.182
_cell_angle_alpha 90.00
_cell_angle_beta 90.00
_cell_angle_gamma 90.00
_space_group_name_H-M_alt 'I -4 2 d'
_space_group_IT_number 122
_space_group_name_Hall 'I -4 2bw'
loop_
_atom_site_label
_atom_site_type_symbol
_atom_site_fract_x
_atom_site_fract_y
_atom_site_fract_z
Li1 Li 0.000 0.000 0.000
Mg1 Mg 0.000 0.000 0.500
B1 B 0.237 0.750 0.125
```